No. 1
DFT (PBE) results for a geometry-optimized Ca4TcRh structure.

Unit cell a=6.0490 b=6.0490 c=6.0490 alpha=60.00 beta=60.00 gamma=60.00
Positions (direct):
Ca  0.8755  0.3748  0.3748
Ca  0.3748  0.8755  0.3748
Ca  0.3748  0.3748  0.3748
Ca  0.3748  0.3748  0.8755
Tc  0.0000  0.0000  0.0000
Rh  0.7500  0.7500  0.7500

Results
For the formation energy from the elements, the calculation gives 1.0758 eV per atom. The density of states at the Fermi level comes out at 6.6 states/eV/cell.


No. 2
DFT (PBE) results for a geometry-optimized MgTeOs2 structure.

Unit cell a=2.8914 b=2.8914 c=9.3921 alpha=90.00 beta=90.00 gamma=117.78
Positions (direct):
Te  0.5000  0.5000  0.2500
Os  0.0000  0.0000  0.5111
Os  0.0000  0.0000  0.9889
Mg  0.5000  0.5000  0.7500

Results
For the energy above the lowest structure with this stoichiometry, the calculation gives 2.445 eV/f.u. The density of states at the Fermi level comes out at 3.9 states/eV/cell.


No. 3
DFT (PBE) results for a geometry-optimized AlCd2AgRh structure.

Unit cell a=4.9306 b=4.7237 c=4.9306 alpha=90.00 beta=90.00 gamma=90.00
Positions (direct):
Ag  0.0000  0.5000  0.0000
Rh  0.5000  0.5000  0.5000
Al  0.0000  0.0000  0.0000
Cd  0.5000  0.0000  0.0000
Cd  0.0000  0.0000  0.5000

Results
For the formation energy from the elements, the calculation gives 0.8530 eV per atom. The density of states at the Fermi level comes out at 5.7 states/eV/cell.


No. 4
DFT (PBE) results for a geometry-optimized DyB2O6 structure.

Unit cell a=4.7305 b=5.6793 c=5.6793 alpha=120.00 beta=90.00 gamma=90.00
Positions (direct):
O  0.2465  0.1947  0.3895
O  0.7535  0.3895  0.1948
O  0.2465  0.1948  0.8053
O  0.7535  0.8052  0.1947
O  0.2465  0.6105  0.8052
O  0.7535  0.8053  0.6105
B  0.2386  0.3333  0.6667
B  0.7614  0.6667  0.3333
Dy  0.5000  0.0000  0.0000

Results
Its total energy is -7.283 eV per atom. The density of states at the Fermi level comes out at 5.5 states/eV/cell.


No. 5
DFT (PBE) results for a geometry-optimized HfMgNiGe2 structure.

Unit cell a=4.5325 b=4.8811 c=4.5325 alpha=90.00 beta=90.00 gamma=90.00
Positions (direct):
Ge  0.0000  0.0000  0.5000
Ge  0.5000  0.0000  0.0000
Hf  0.0000  0.5000  0.0000
Ni  0.0000  0.0000  0.0000
Mg  0.5000  0.5000  0.5000

Results
For the formation energy from the elements, the calculation gives 0.1704 eV per atom. The density of states at the Fermi level comes out at 3.9 states/eV/cell.


No. 6
DFT (PBE) results for a geometry-optimized SrTc2Pb structure.

Unit cell a=4.2364 b=4.2364 c=7.0869 alpha=72.61 beta=72.61 gamma=60.01
Positions (direct):
Sr  0.7375  0.7375  0.7872
Tc  0.2763  0.2763  0.1713
Tc  0.9560  0.9560  0.1320
Pb  0.5302  0.5302  0.4094

Results
For the formation energy from the elements, the calculation gives 0.1912 eV per atom. The density of states at the Fermi level comes out at 1.9 states/eV/cell.


No. 7
DFT (PBE) results for a geometry-optimized Y2CF2 structure.

Unit cell a=3.3980 b=3.3980 c=6.5787 alpha=75.03 beta=75.03 gamma=90.00
Positions (direct):
Y  0.3842  0.3842  0.2317
Y  0.6158  0.6158  0.7683
C  0.0000  0.0000  0.0000
F  0.2500  0.7500  0.5000
F  0.7500  0.2500  0.5000

Results
For the energy above the lowest structure with this stoichiometry, the calculation gives 1.211 eV/f.u. The density of states at the Fermi level comes out at 1.7 states/eV/cell.


No. 8
DFT (PBE) results for a geometry-optimized VTe2OsN structure.

Unit cell a=5.2294 b=5.2294 c=3.5350 alpha=90.00 beta=90.00 gamma=90.00
Positions (direct):
V  0.0000  0.0000  0.0000
Te  0.0000  0.5000  0.0000
Te  0.5000  0.0000  0.0000
Os  0.5000  0.5000  0.5000
N  0.0000  0.0000  0.5000

Results
For the energy above the lowest structure with this stoichiometry, the calculation gives 1.510 eV/f.u. The density of states at the Fermi level comes out at 6.5 states/eV/cell.


No. 9
DFT (PBE) results for a geometry-optimized PmPaMnN3 structure.

Unit cell a=3.3991 b=7.2875 c=7.2635 alpha=101.86 beta=90.00 gamma=90.00
Positions (direct):
Pm  0.2500  0.1716  0.2034
Pm  0.7500  0.8284  0.7966
Pa  0.2500  0.6625  0.1848
Pa  0.7500  0.3375  0.8152
Mn  0.2500  0.0850  0.5728
Mn  0.7500  0.9150  0.4272
N  0.2500  0.1216  0.8544
N  0.7500  0.4341  0.1373
N  0.7500  0.1812  0.4666
N  0.2500  0.8188  0.5334
N  0.2500  0.5659  0.8627
N  0.7500  0.8784  0.1456

Results
Its total energy is -9.217 eV per atom. The density of states at the Fermi level comes out at 3.8 states/eV/cell.


No. 10
DFT (PBE) results for a geometry-optimized Os2PbBr structure.

Unit cell a=3.0080 b=3.0080 c=9.3431 alpha=90.00 beta=90.00 gamma=90.00
Positions (direct):
Os  0.0000  0.0000  0.0331
Os  0.5000  0.5000  0.1971
Br  0.5000  0.5000  0.8282
Pb  0.0000  0.0000  0.4416

Results
For the energy above the lowest structure with this stoichiometry, the calculation gives 0.348 eV/f.u. The density of states at the Fermi level comes out at 1.1 states/eV/cell.


No. 11
DFT (PBE) results for a geometry-optimized ThSc2P structure.

Unit cell a=3.5995 b=3.5995 c=8.9087 alpha=78.34 beta=78.34 gamma=60.00
Positions (direct):
Sc  0.2746  0.2746  0.1763
Sc  0.7254  0.7254  0.8237
P  0.0000  0.0000  0.0000
Th  0.5000  0.5000  0.5000

Results
For the formation energy from the elements, the calculation gives -0.6405 eV per atom. The density of states at the Fermi level comes out at 4.8 states/eV/cell.


No. 12
DFT (PBE) results for a geometry-optimized Cs2In2Se structure.

Unit cell a=5.3340 b=5.3340 c=8.8878 alpha=72.54 beta=72.54 gamma=90.00
Positions (direct):
Se  0.0000  0.0000  0.0000
Cs  0.7500  0.2500  0.5000
Cs  0.2500  0.7500  0.5000
In  0.4154  0.4154  0.1691
In  0.5846  0.5846  0.8309

Results
Its total energy is -1.971 eV per atom. The density of states at the Fermi level comes out at 3.2 states/eV/cell.


Magnetization list, top to bottom, in μB per atom: 0.39; 0.00; 0.00; 0.34; 0.00; 0.00; 0.00; 0.23; 0.00; 0.00; 0.00; 0.00